An optimized crystal structure of AgAuS2. Source: Alexandria via LeMat-Bulk, functional PBE-GGA.

```
AgAuS2
1.0
-1.166 -3.962 -2.551
3.554 -5.612 7.093
-1.724 -3.840 6.753
S Au Ag
4 2 2
Cartesian
-0.012 -6.232 1.142
-2.093 -7.742 4.439
-0.466 -6.766 5.410
-0.823 -4.437 1.955
0.498 -10.061 8.471
1.360 -8.141 5.095
0.597 -2.394 1.135
-0.265 -4.313 4.512
```

The calculation puts the uncorrected energy at -3.529 eV per atom. Its magnetic moment is 0.00 μB/f.u. Its space group is Pccm.